# 1
VASP calculation (PBE) on an optimized crystal structure of LiRhI2.

Polymorph energy (0 for the lowest one) ... 1.310 eV/f.u.
Magnetization ... 1.99 μB per formula unit
Crystal system ... cubic

Unit cell a=7.2785 b=7.2785 c=7.2785 alpha=90.00 beta=90.00 gamma=90.00
Space group Fm-3m (No. 225)
One atom of each set of equivalent atoms:
Li: 0.0000 0.0000 0.0000
Rh: 0.0000 0.0000 0.5000
I: 0.2500 0.2500 0.2500



# 2
VASP calculation (PBE) on an optimized crystal structure of LiRh2I.

Magnetization ... 1.00 μB per formula unit
Crystal system ... cubic

Unit cell a=6.3352 b=6.3352 c=6.3352 alpha=90.00 beta=90.00 gamma=90.00
Space group Fm-3m (No. 225)
One atom of each set of equivalent atoms:
Li: 0.0000 0.0000 0.0000
Rh: 0.2500 0.2500 0.2500
I: 0.0000 0.0000 0.5000



# 3
VASP calculation (PBE) on an optimized crystal structure of LiRhI2.

Polymorph energy (0 for the lowest one) ... 0.000 eV/f.u.
Magnetization ... 2.01 μB per formula unit
Crystal system ... trigonal

Unit cell a=4.2278 b=4.2278 c=19.7391 alpha=90.00 beta=90.00 gamma=120.00
Space group R-3m (No. 166, hexagonal axes)
One atom of each set of equivalent atoms:
Li: 0.0000 0.0000 0.0000
Rh: 0.0000 0.0000 0.5000
I: 0.0000 0.0000 0.2441



# 4
VASP calculation (PBE) on an optimized crystal structure of LiSb2RhI.

Polymorph energy (0 for the lowest one) ... 0.000 eV/f.u.
Magnetization ... 0.00 μB per formula unit
Crystal system ... tetragonal

Unit cell a=5.0678 b=5.0678 c=6.1697 alpha=90.00 beta=90.00 gamma=90.00
Space group P4/mmm (No. 123)
One atom of each set of equivalent atoms:
Li: 0.0000 0.0000 0.0000
Sb: 0.0000 0.5000 0.5000
Rh: 0.5000 0.5000 0.5000
I: 0.5000 0.5000 0.0000



# 5
VASP calculation (PBE) on an optimized crystal structure of Sr2LiRhI.

Magnetization ... 0.00 μB per formula unit
Crystal system ... tetragonal

Unit cell a=5.8436 b=5.8436 c=4.7940 alpha=90.00 beta=90.00 gamma=90.00
Space group P4/mmm (No. 123)
One atom of each set of equivalent atoms:
Sr: 0.0000 0.5000 0.0000
Li: 0.0000 0.0000 0.5000
Rh: 0.0000 0.0000 0.0000
I: 0.5000 0.5000 0.5000



# 6
VASP calculation (PBE) on an optimized crystal structure of LiTeRhI2.

Polymorph energy (0 for the lowest one) ... 0.000 eV/f.u.
Magnetization ... 0.00 μB per formula unit
Crystal system ... tetragonal

Unit cell a=5.6961 b=5.6961 c=5.0564 alpha=90.00 beta=90.00 gamma=90.00
Space group P4/mmm (No. 123)
One atom of each set of equivalent atoms:
Li: 0.0000 0.0000 0.0000
Te: 0.5000 0.5000 0.0000
Rh: 0.5000 0.5000 0.5000
I: 0.0000 0.5000 0.5000



# 7
VASP calculation (PBE) on an optimized crystal structure of LiTeRhI2.

Polymorph energy (0 for the lowest one) ... 3.731 eV/f.u.
Magnetization ... 1.51 μB per formula unit
Crystal system ... tetragonal

Unit cell a=6.1884 b=6.1884 c=4.9870 alpha=90.00 beta=90.00 gamma=90.00
Space group P4/mmm (No. 123)
One atom of each set of equivalent atoms:
Li: 0.0000 0.0000 0.0000
Te: 0.0000 0.0000 0.5000
Rh: 0.5000 0.5000 0.0000
I: 0.0000 0.5000 0.5000



# 8
VASP calculation (PBE) on an optimized crystal structure of Li2RhWI.

Magnetization ... 4.04 μB per formula unit
Crystal system ... tetragonal

Unit cell a=4.5281 b=4.5281 c=5.0489 alpha=90.00 beta=90.00 gamma=90.00
Space group P4/mmm (No. 123)
One atom of each set of equivalent atoms:
Li: 0.0000 0.5000 0.0000
Rh: 0.0000 0.0000 0.0000
W: 0.5000 0.5000 0.5000
I: 0.0000 0.0000 0.5000



# 9
VASP calculation (PBE) on an optimized crystal structure of LiZnRhI2.

Magnetization ... 0.42 μB per formula unit
Crystal system ... tetragonal

Unit cell a=5.6170 b=5.6170 c=4.7520 alpha=90.00 beta=90.00 gamma=90.00
Space group P4/mmm (No. 123)
One atom of each set of equivalent atoms:
Li: 0.0000 0.0000 0.0000
Zn: 0.5000 0.5000 0.5000
Rh: 0.5000 0.5000 0.0000
I: 0.0000 0.5000 0.5000



# 10
VASP calculation (PBE) on an optimized crystal structure of Li3RuI.

Polymorph energy (0 for the lowest one) ... 0.000 eV/f.u.
Magnetization ... 2.00 μB per formula unit
Crystal system ... cubic

Unit cell a=5.0112 b=5.0112 c=5.0112 alpha=90.00 beta=90.00 gamma=90.00
Space group Pm-3m (No. 221)
One atom of each set of equivalent atoms:
Li: 0.0000 0.0000 0.5000
Ru: 0.0000 0.0000 0.0000
I: 0.5000 0.5000 0.5000



# 11
VASP calculation (PBE) on an optimized crystal structure of Li2RuI4.

Magnetization ... 0.69 μB per formula unit
Crystal system ... tetragonal

Unit cell a=5.5602 b=5.5602 c=14.1372 alpha=90.00 beta=90.00 gamma=90.00
Space group I4/mmm (No. 139)
One atom of each set of equivalent atoms:
Li: 0.0000 0.0000 0.1170
Ru: 0.0000 0.0000 0.5000
I: 0.0000 0.0000 0.3094
I: 0.0000 0.5000 0.0000



# 12
VASP calculation (PBE) on an optimized crystal structure of Li2RuI.

Polymorph energy (0 for the lowest one) ... 0.249 eV/f.u.
Magnetization ... 0.24 μB per formula unit
Crystal system ... cubic

Unit cell a=6.3444 b=6.3444 c=6.3444 alpha=90.00 beta=90.00 gamma=90.00
Space group Fm-3m (No. 225)
One atom of each set of equivalent atoms:
Li: 0.2500 0.2500 0.2500
Ru: 0.0000 0.0000 0.0000
I: 0.0000 0.0000 0.5000



# 13
VASP calculation (PBE) on an optimized crystal structure of LiRuI2.

Polymorph energy (0 for the lowest one) ... 0.000 eV/f.u.
Magnetization ... 0.00 μB per formula unit
Crystal system ... tetragonal

Unit cell a=6.1360 b=6.1360 c=12.7351 alpha=90.00 beta=90.00 gamma=90.00
Space group I-42d (No. 122)
One atom of each set of equivalent atoms:
Li: 0.0000 0.0000 0.0000
Ru: 0.0000 0.0000 0.5000
I: 0.2273 0.2500 0.6250



# 14
VASP calculation (PBE) on an optimized crystal structure of LiRuI2.

Polymorph energy (0 for the lowest one) ... 0.803 eV/f.u.
Magnetization ... 3.00 μB per formula unit
Crystal system ... trigonal

Unit cell a=4.0385 b=4.0385 c=25.9106 alpha=90.00 beta=90.00 gamma=120.00
Space group R-3m (No. 166, hexagonal axes)
One atom of each set of equivalent atoms:
Li: 0.0000 0.0000 0.0000
Ru: 0.0000 0.0000 0.5000
I: 0.0000 0.0000 0.3990



# 15
VASP calculation (PBE) on an optimized crystal structure of Li2RuI.

Polymorph energy (0 for the lowest one) ... 0.000 eV/f.u.
Magnetization ... 1.00 μB per formula unit
Crystal system ... tetragonal

Unit cell a=7.5005 b=7.5005 c=5.3166 alpha=90.00 beta=90.00 gamma=90.00
Space group I-42d (No. 122)
One atom of each set of equivalent atoms:
Li: 0.2410 0.7500 0.1250
Ru: 0.0000 0.0000 0.0000
I: 0.0000 0.0000 0.5000



# 16
VASP calculation (PBE) on an optimized crystal structure of LiSb2RuI.

Polymorph energy (0 for the lowest one) ... 0.000 eV/f.u.
Magnetization ... 0.00 μB per formula unit
Crystal system ... tetragonal

Unit cell a=5.0307 b=5.0307 c=6.1377 alpha=90.00 beta=90.00 gamma=90.00
Space group P4/mmm (No. 123)
One atom of each set of equivalent atoms:
Li: 0.0000 0.0000 0.0000
Sb: 0.0000 0.5000 0.5000
Ru: 0.5000 0.5000 0.5000
I: 0.5000 0.5000 0.0000



# 17
VASP calculation (PBE) on an optimized crystal structure of LiSbRuI2.

Polymorph energy (0 for the lowest one) ... 0.000 eV/f.u.
Magnetization ... 0.00 μB per formula unit
Crystal system ... tetragonal

Unit cell a=5.6941 b=5.6941 c=4.9616 alpha=90.00 beta=90.00 gamma=90.00
Space group P4/mmm (No. 123)
One atom of each set of equivalent atoms:
Li: 0.0000 0.0000 0.0000
Sb: 0.5000 0.5000 0.0000
Ru: 0.5000 0.5000 0.5000
I: 0.0000 0.5000 0.5000



# 18
VASP calculation (PBE) on an optimized crystal structure of Li2ScRuI.

Magnetization ... 0.00 μB per formula unit
Crystal system ... tetragonal

Unit cell a=4.5932 b=4.5932 c=5.5710 alpha=90.00 beta=90.00 gamma=90.00
Space group P4/mmm (No. 123)
One atom of each set of equivalent atoms:
Li: 0.0000 0.5000 0.0000
Sc: 0.0000 0.0000 0.5000
Ru: 0.5000 0.5000 0.5000
I: 0.0000 0.0000 0.0000



# 19
VASP calculation (PBE) on an optimized crystal structure of LiTe2RuI.

Polymorph energy (0 for the lowest one) ... 3.730 eV/f.u.
Magnetization ... 2.66 μB per formula unit
Crystal system ... tetragonal

Unit cell a=5.0182 b=5.0182 c=5.3442 alpha=90.00 beta=90.00 gamma=90.00
Space group P4/mmm (No. 123)
One atom of each set of equivalent atoms:
Li: 0.0000 0.0000 0.0000
Te: 0.0000 0.5000 0.0000
Ru: 0.5000 0.5000 0.5000
I: 0.0000 0.0000 0.5000



# 20
VASP calculation (PBE) on an optimized crystal structure of LiTeRuI2.

Polymorph energy (0 for the lowest one) ... 0.000 eV/f.u.
Magnetization ... 0.00 μB per formula unit
Crystal system ... tetragonal

Unit cell a=5.7559 b=5.7559 c=4.9689 alpha=90.00 beta=90.00 gamma=90.00
Space group P4/mmm (No. 123)
One atom of each set of equivalent atoms:
Li: 0.0000 0.0000 0.0000
Te: 0.5000 0.5000 0.0000
Ru: 0.5000 0.5000 0.5000
I: 0.0000 0.5000 0.5000



For each record above, in turn, the calculated energy values are -48.5 -70.0 -40.3 -18.7 -16.4 -16.2 -12.4 -19.8 -12.3 -14.3 -43.4 -52.7 -56.6 -40.0 -53.7 -20.1 -17.8 -17.7 -14.7 -17.3 eV per cell.
For each record above, in turn, the calculated formation energy without anion corrections values are 0.059 0.168 -0.269 0.064 -0.453 -0.129 0.618 1.167 0.261 0.454 -0.342 0.371 0.037 0.238 0.309 0.168 0.115 0.649 0.860 0.031 eV per atom.